Run 1
The following is a PBE-GGA calculation of a geometry-optimized KMn2Co structure, from the Alexandria database.

abc: 9.9990 9.9990 9.9990
angles: 16.64 16.64 16.64
Positions (direct):
Co 0.2500 0.2500 0.2500
K 0.7500 0.7500 0.7500
Mn 0.9799 0.9799 0.9799
Mn 0.5201 0.5201 0.5201

Output
spin magnetization = 8.65 Bohr magnetons per cell


Run 2
The following is a PBE-GGA calculation of a geometry-optimized KMn2Co structure, from the Alexandria database.

abc: 4.2763 4.2763 4.2763
angles: 60.00 60.00 60.00
Positions (direct):
K 0.0000 0.0000 0.0000
Mn 0.2500 0.2500 0.2500
Mn 0.7500 0.7500 0.7500
Co 0.5000 0.5000 0.5000

Output
spin magnetization = 0.00 Bohr magnetons per cell


Run 3
The following is a PBE-GGA calculation of a geometry-optimized KMn2Co structure, from the Alexandria database.

abc: 5.6858 5.6858 2.7221
angles: 77.03 77.03 117.66
Positions (direct):
Co 0.5000 0.0000 0.5000
K 0.0000 0.5000 0.5000
Mn 0.0000 0.0000 0.0000
Mn 0.5000 0.5000 0.0000

Output
spin magnetization = 9.03 Bohr magnetons per cell


run 1 is the most stable structure; the next one sits 348 meV per atom above it.


Run 1
The following is a PBE-GGA calculation of a geometry-optimized KMn2Co structure, from the Alexandria database.

abc: 5.4117 5.4117 8.2258
angles: 70.80 70.80 90.00
Positions (direct):
K 0.5000 0.5000 0.0000
K 0.2500 0.7500 0.5000
Mn 0.8750 0.1250 0.2500
Mn 0.8750 0.6250 0.2500
Mn 0.3750 0.1250 0.7500
Mn 0.8750 0.1250 0.7500
Co 0.0000 0.0000 0.0000
Co 0.7500 0.2500 0.5000

Output
spin magnetization = 15.58 Bohr magnetons per cell


Run 2
The following is a PBE-GGA calculation of a geometry-optimized KMn2Co structure, from the Alexandria database.

abc: 5.1922 5.1922 2.8115
angles: 90.00 90.00 111.76
Positions (direct):
Co 0.5000 0.0000 0.5000
K 0.0000 0.5000 0.5000
Mn 0.0000 0.0000 0.0000
Mn 0.5000 0.5000 0.0000

Output
spin magnetization = 9.21 Bohr magnetons per cell


run 1 is the most stable structure; the next one sits 98 meV per atom above it.


Run 1
The following is a PBE-GGA calculation of a geometry-optimized KMn2Co structure, from the Alexandria database.

abc: 2.8272 5.1725 5.0499
angles: 90.00 90.00 90.00
Positions (direct):
Co 0.5000 0.0000 0.5000
K 0.0000 0.5000 0.5000
Mn 0.0000 0.0000 0.0000
Mn 0.5000 0.5000 0.0000

Output
spin magnetization = 9.47 Bohr magnetons per cell


Run 2
The following is a PBE-GGA calculation of a geometry-optimized KMn2Co structure, from the Alexandria database.

abc: 4.2021 4.2021 7.5068
angles: 85.43 85.43 39.52
Positions (direct):
Co 0.7500 0.7500 0.7500
K 0.2500 0.2500 0.2500
Mn 0.0198 0.0198 0.8940
Mn 0.4802 0.4802 0.6060

Output
spin magnetization = 9.12 Bohr magnetons per cell


run 2 is the most stable structure; the next one sits 536 meV per atom above it.


Run 1
The following is a PBE-GGA calculation of a geometry-optimized KMnCo2 structure, from the Alexandria database.

abc: 9.3248 9.3248 9.3248
angles: 17.22 17.22 17.22
Positions (direct):
Co 0.0177 0.0177 0.0177
Co 0.4823 0.4823 0.4823
K 0.2500 0.2500 0.2500
Mn 0.7500 0.7500 0.7500

Output
spin magnetization = 5.39 Bohr magnetons per cell


Run 2
The following is a PBE-GGA calculation of a geometry-optimized KMnCo2 structure, from the Alexandria database.

abc: 4.6886 4.6886 9.2674
angles: 75.35 75.35 90.00
Positions (direct):
K 0.5000 0.5000 0.0000
K 0.2500 0.7500 0.5000
Mn 0.0000 0.0000 0.0000
Mn 0.7500 0.2500 0.5000
Co 0.8748 0.1250 0.2500
Co 0.8752 0.6250 0.2500
Co 0.3750 0.1252 0.7500
Co 0.8750 0.1248 0.7500

Output
spin magnetization = 15.05 Bohr magnetons per cell


run 1 is the most stable structure; the next one sits 275 meV per atom above it.


Run 1
The following is a PBE-GGA calculation of a geometry-optimized KMnCo2 structure, from the Alexandria database.

abc: 4.5150 4.5150 6.8055
angles: 84.51 84.51 36.58
Positions (direct):
Co 0.9785 0.9785 0.1244
Co 0.5215 0.5215 0.3756
K 0.7500 0.7500 0.7500
Mn 0.2500 0.2500 0.2500

Output
spin magnetization = 6.99 Bohr magnetons per cell


Run 2
The following is a PBE-GGA calculation of a geometry-optimized KMnCo2 structure, from the Alexandria database.

abc: 4.3323 4.3323 4.3323
angles: 60.00 60.00 60.00
Positions (direct):
K 0.0000 0.0000 0.0000
Mn 0.5000 0.5000 0.5000
Co 0.2500 0.2500 0.2500
Co 0.7500 0.7500 0.7500

Output
spin magnetization = 0.02 Bohr magnetons per cell


run 1 is the most stable structure; the next one sits 924 meV per atom above it.


Run 1
The following is a PBE-GGA calculation of a geometry-optimized KCoMo3 structure, from the Alexandria database.

abc: 4.6515 4.6515 4.6515
angles: 90.00 90.00 90.00
Positions (direct):
Mo 0.0000 0.5000 0.0000
Mo 0.0000 0.0000 0.5000
Mo 0.5000 0.0000 0.0000
Co 0.0000 0.0000 0.0000
K 0.5000 0.5000 0.5000

Output
spin magnetization = 1.79 Bohr magnetons per cell


Run 2
The following is a PBE-GGA calculation of a geometry-optimized KCoMo3 structure, from the Alexandria database.

abc: 4.4132 4.4132 4.4132
angles: 90.00 90.00 90.00
Positions (direct):
Mo 0.0000 0.5000 0.0000
Mo 0.0000 0.0000 0.5000
Mo 0.5000 0.0000 0.0000
Co 0.5000 0.5000 0.5000
K 0.0000 0.0000 0.0000

Output
spin magnetization = 0.00 Bohr magnetons per cell


run 1 is the most stable structure; the next one sits 1637 meV per atom above it.


Run 1
The following is a PBE-GGA calculation of a geometry-optimized KCoMo2 structure, from the Alexandria database.

abc: 6.1616 6.1616 6.1616
angles: 155.69 130.65 55.75
Positions (direct):
Co 0.7500 0.2500 0.5000
K 0.2500 0.7500 0.5000
Mo 0.9520 0.9520 0.0000
Mo 0.5480 0.5480 0.0000

Output
spin magnetization = 0.61 Bohr magnetons per cell


Run 2
The following is a PBE-GGA calculation of a geometry-optimized KCoMo2 structure, from the Alexandria database.

abc: 3.2519 2.8638 9.0050
angles: 75.11 90.00 90.00
Positions (direct):
Co 0.0000 0.5589 0.4188
K 0.5000 0.8149 0.7194
Mo 0.0000 0.9640 0.0849
Mo 0.5000 0.1623 0.2769

Output
spin magnetization = 0.66 Bohr magnetons per cell


Run 3
The following is a PBE-GGA calculation of a geometry-optimized KCoMo2 structure, from the Alexandria database.

abc: 5.8147 5.8147 2.5817
angles: 90.00 90.00 125.63
Positions (direct):
Co 0.5000 0.0000 0.5000
K 0.0000 0.5000 0.5000
Mo 0.0000 0.0000 0.0000
Mo 0.5000 0.5000 0.0000

Output
spin magnetization = 1.52 Bohr magnetons per cell


run 2 is the most stable structure; the next one sits 192 meV per atom above it.


Run 1
The following is a PBE-GGA calculation of a geometry-optimized KCoMo2 structure, from the Alexandria database.

abc: 2.7843 2.7843 9.7123
angles: 90.00 90.00 106.25
Positions (direct):
Co 0.0000 0.0000 0.4487
K 0.5000 0.5000 0.7266
Mo 0.0000 0.0000 0.0528
Mo 0.5000 0.5000 0.2719

Output
spin magnetization = 0.00 Bohr magnetons per cell


Run 2
The following is a PBE-GGA calculation of a geometry-optimized KCoMo2 structure, from the Alexandria database.

abc: 4.6398 4.6398 6.7917
angles: 81.96 81.96 41.26
Positions (direct):
Co 0.7500 0.7500 0.7500
K 0.2500 0.2500 0.2500
Mo 0.0392 0.0392 0.8606
Mo 0.4608 0.4608 0.6394

Output
spin magnetization = 1.04 Bohr magnetons per cell


Run 3
The following is a PBE-GGA calculation of a geometry-optimized KCoMo2 structure, from the Alexandria database.

abc: 4.5900 4.5900 4.5900
angles: 60.00 60.00 60.00
Positions (direct):
Co 0.5000 0.5000 0.5000
K 0.7500 0.7500 0.7500
Mo 0.0000 0.0000 0.0000
Mo 0.2500 0.2500 0.2500

Output
spin magnetization = 1.63 Bohr magnetons per cell


run 1 is the most stable structure; the next one sits 215 meV per atom above it.